[1]
Below is a relaxed structure of ZnCuPt, with properties calculated at the GGA-PBEsol level.

Cell: 2.7179 4.1044 4.1044 Å, 120.00 90.00 90.00°
With the nearest neighbours (Å) after each atom.
Positions (direct):
Zn (0.1947, 0.3333, 0.6667)  3 Cu 2.37
Pt (0.6651, 0.6667, 0.3333)  6 Zn 2.69-2.77, 6 Cu 2.70-2.77, 2 Pt 2.72
Cu (0.1402, 0.0000, 0.0000)  3 Zn 2.37

energy	-0.3379	Ry per atom
ΔH_f (0 K)	-305	meV per atom
energy above the lowest structure with this stoichiometry	0.014	eV/atom
SG	No. 156
crystal system	trigonal

[2]
Below is a relaxed structure of ZnCu2Pt, with properties calculated at the GGA-PBEsol level.

Cell: 2.7580 4.4430 4.5090 Å, 102.42 107.62 90.11°
With the nearest neighbours (Å) after each atom.
Positions (direct):
Zn (0.2522, 0.7512, 0.5053)  7 Cu 2.56-2.67, 3 Pt 2.59-2.60, 2 Zn 2.76
Pt (0.5002, 0.5050, 0.0001)  3 Zn 2.59-2.60, 7 Cu 2.60-2.66, 2 Pt 2.76
Cu (0.0006, 0.0086, 0.0013)  5 Cu 2.53-2.76, 3 Zn 2.58-2.67, 4 Pt 2.60-2.63
Cu (0.7472, 0.2352, 0.4933)  5 Cu 2.53-2.76, 4 Zn 2.56-2.67, 3 Pt 2.63-2.66

energy	-0.3321	Ry per atom
ΔH_f (0 K)	-215	meV per atom
SG	No. 1
crystal system	triclinic

[3]
Below is a relaxed structure of ZnCu2Pt, with properties calculated at the GGA-PBEsol level.

Cell: 2.8181 4.2391 4.9764 Å, 115.21 106.45 90.00°
With the nearest neighbours (Å) after each atom.
Positions (direct):
Zn (0.0000, 0.5000, 0.0000)  4 Cu 2.50, 4 Pt 2.55
Pt (0.5000, 0.0000, 0.0000)  4 Zn 2.55, 4 Cu 2.62, 2 Pt 2.82
Cu (0.7412, 0.7412, 0.4824)  2 Zn 2.50, 4 Cu 2.55, 2 Pt 2.62
Cu (0.2588, 0.2588, 0.5176)  2 Zn 2.50, 4 Cu 2.55, 2 Pt 2.62

energy	-0.3318	Ry per atom
ΔH_f (0 K)	-211	meV per atom
SG	No. 71
crystal system	orthorhombic

[4]
Below is a relaxed structure of ZnCu2Pt, with properties calculated at the GGA-PBEsol level.

Cell: 3.7419 3.7419 4.5006 Å, 114.56 114.56 90.00°
With the nearest neighbours (Å) after each atom.
Positions (direct):
Zn (0.2500, 0.7500, 0.5000)  4 Pt 2.61, 8 Cu 2.61-2.65
Cu (0.0000, 0.0000, 0.0000)  4 Cu 2.61, 4 Zn 2.61, 4 Pt 2.65
Cu (0.7500, 0.2500, 0.5000)  4 Pt 2.61, 4 Cu 2.61, 4 Zn 2.65
Pt (0.5000, 0.5000, 0.0000)  8 Cu 2.61-2.65, 4 Zn 2.61

energy	-0.3363	Ry per atom
ΔH_f (0 K)	-272	meV per atom
SG	No. 119
crystal system	tetragonal

[5]
Below is a relaxed structure of ZnCuPt, with properties calculated at the GGA-PBEsol level.

Cell: 2.7581 3.6256 4.5858 Å, 113.29 107.50 90.00°
With the nearest neighbours (Å) after each atom.
Positions (direct):
Zn (0.3346, 0.3346, 0.6692)  5 Cu 2.62-2.68, 5 Pt 2.64-2.65, 2 Zn 2.76
Pt (0.6671, 0.6671, 0.3342)  5 Cu 2.64, 5 Zn 2.64-2.65, 2 Pt 2.76
Cu (0.9984, 0.9984, 0.9968)  5 Zn 2.62-2.68, 5 Pt 2.64, 2 Cu 2.76

energy	-0.3390	Ry per atom
ΔH_f (0 K)	-319	meV per atom
energy above the lowest structure with this stoichiometry	0.000	eV/atom
SG	No. 44
crystal system	orthorhombic

[6]
Below is a relaxed structure of ZnCu2Pt, with properties calculated at the GGA-PBEsol level.

Cell: 2.7587 4.4268 4.4268 Å, 107.84 90.00 90.00°
With the nearest neighbours (Å) after each atom.
Positions (direct):
Zn (0.5000, 0.5000, 0.5000)  2 Pt 2.61, 8 Cu 2.61, 2 Zn 2.76
Cu (0.0000, 0.5000, 0.0000)  4 Cu 2.61-2.76, 4 Pt 2.61, 4 Zn 2.61
Cu (0.0000, 0.0000, 0.5000)  4 Cu 2.61-2.76, 4 Zn 2.61, 4 Pt 2.61
Pt (0.5000, 0.0000, 0.0000)  2 Zn 2.61, 8 Cu 2.61, 2 Pt 2.76

energy	-0.3312	Ry per atom
ΔH_f (0 K)	-203	meV per atom
SG	No. 65
crystal system	orthorhombic

[7]
Below is a relaxed structure of ZnCu2Pt, with properties calculated at the GGA-PBEsol level.

Cell: 2.6708 2.6708 8.5055 Å, 80.97 80.97 60.00°
With the nearest neighbours (Å) after each atom.
Positions (direct):
Cu (0.2528, 0.2528, 0.2417)  3 Zn 2.54, 3 Pt 2.65, 6 Cu 2.67
Cu (0.7472, 0.7472, 0.7583)  3 Zn 2.54, 3 Pt 2.65, 6 Cu 2.67
Pt (0.5000, 0.5000, 0.5000)  6 Cu 2.65, 6 Pt 2.67
Zn (0.0000, 0.0000, 0.0000)  6 Cu 2.54, 6 Zn 2.67

energy	-0.3246	Ry per atom
ΔH_f (0 K)	-113	meV per atom
SG	No. 166
crystal system	trigonal

[8]
Below is a relaxed structure of ZnCu2Pt, with properties calculated at the GGA-PBEsol level.

Cell: 2.7137 3.5820 5.2599 Å, 90.00 89.98 90.00°
With the nearest neighbours (Å) after each atom.
Positions (direct):
Zn (0.5000, 0.5000, 0.7560)  6 Cu 2.52-2.74, 4 Pt 2.62, 2 Zn 2.71
Pt (0.9999, 0.0000, 0.5013)  6 Cu 2.60-2.66, 4 Zn 2.62, 2 Pt 2.71
Cu (0.0000, 0.0000, 0.0067)  6 Cu 2.55-2.71, 2 Pt 2.60-2.66, 4 Zn 2.61
Cu (0.5001, 0.5000, 0.2360)  2 Zn 2.52-2.74, 6 Cu 2.55-2.71, 4 Pt 2.65

energy	-0.3338	Ry per atom
ΔH_f (0 K)	-238	meV per atom
SG	No. 25
crystal system	orthorhombic

[9]
Below is a relaxed structure of ZnCu2Pt, with properties calculated at the GGA-PBEsol level.

Cell: 2.8138 2.8138 6.4089 Å, 90.00 90.00 90.00°
With the nearest neighbours (Å) after each atom.
Positions (direct):
Zn (0.5000, 0.5000, 0.7632)  4 Cu 2.53, 4 Pt 2.62, 4 Zn 2.81
Pt (0.0000, 0.0000, 0.4973)  4 Cu 2.62, 4 Zn 2.62, 4 Pt 2.81
Cu (0.0000, 0.0000, 0.0071)  4 Cu 2.46, 4 Zn 2.53
Cu (0.5000, 0.5000, 0.2325)  4 Cu 2.46, 4 Pt 2.62

energy	-0.3315	Ry per atom
ΔH_f (0 K)	-207	meV per atom
SG	No. 99
crystal system	tetragonal

[10]
Below is a relaxed structure of ZrCuPt, with properties calculated at the GGA-PBEsol level.

Cell: 3.4146 3.4146 4.7974 Å, 110.85 110.85 90.00°
With the nearest neighbours (Å) after each atom.
Positions (direct):
Pt (0.3317, 0.3317, 0.6635)  5 Zr 2.76-2.81, 5 Cu 2.77-2.78
Zr (0.6702, 0.6702, 0.3405)  5 Cu 2.72-2.81, 5 Pt 2.76-2.81
Cu (0.9980, 0.9980, 0.9960)  5 Zr 2.72-2.81, 5 Pt 2.77-2.78

energy	-0.5503	Ry per atom
ΔH_f (0 K)	-692	meV per atom
energy above the lowest structure with this stoichiometry	0.000	eV/atom
SG	No. 107
crystal system	tetragonal

[11]
Below is a relaxed structure of ZrCu4Pt, with properties calculated at the GGA-PBEsol level.

Cell: 4.8165 4.8165 4.8165 Å, 60.00 60.00 60.00°
With the nearest neighbours (Å) after each atom.
Positions (direct):
Cu (0.3756, 0.3756, 0.3756)  6 Cu 2.40-2.42
Cu (0.3756, 0.3756, 0.8733)  6 Cu 2.40-2.42
Cu (0.8733, 0.3756, 0.3756)  6 Cu 2.40-2.42
Cu (0.3756, 0.8733, 0.3756)  6 Cu 2.40-2.42
Pt (0.7500, 0.7500, 0.7500)  12 Cu 2.82, 4 Zr 2.95
Zr (0.0000, 0.0000, 0.0000)  12 Cu 2.83, 4 Pt 2.95

energy	-0.4394	Ry per atom
ΔH_f (0 K)	-413	meV per atom
SG	No. 216
crystal system	cubic

[12]
Below is a relaxed structure of Zr2Cu2Pt, with properties calculated at the GGA-PBEsol level.

Cell: 3.5067 6.7820 6.7820 Å, 90.00 90.00 90.00°
With the nearest neighbours (Å) after each atom.
Positions (direct):
Cu (0.0000, 0.3760, 0.8760)  1 Cu 2.38, 2 Zr 2.59
Cu (0.0000, 0.8760, 0.6240)  1 Cu 2.38, 2 Zr 2.59
Cu (0.0000, 0.6240, 0.1240)  1 Cu 2.38, 2 Zr 2.59
Cu (0.0000, 0.1240, 0.3760)  1 Cu 2.38, 2 Zr 2.59
Zr (0.5000, 0.1770, 0.6770)  6 Cu 2.59-2.72
Zr (0.5000, 0.6770, 0.8230)  6 Cu 2.59-2.72
Zr (0.5000, 0.8230, 0.3230)  6 Cu 2.59-2.72
Zr (0.5000, 0.3230, 0.1770)  6 Cu 2.59-2.72
Pt (0.0000, 0.0000, 0.0000)  4 Cu 2.69
Pt (0.0000, 0.5000, 0.5000)  4 Cu 2.69

energy	-0.5304	Ry per atom
ΔH_f (0 K)	-454	meV per atom
SG	No. 127
crystal system	tetragonal